Record 1
BaBeTl3 (PBE, relaxed); DOS at the Fermi energy = 2.31 states/eV per cell; space group = No. 221; DFT formation energy = 15 kJ/mol of formula units; E_tot = -2.519 eV/atom; energy above the lowest structure with this stoichiometry = 0.000 eV per atom; total magnetic moment = 0.00 μB per atom
1.0
5.251 0.000 0.000
0.000 5.251 0.000
0.000 0.000 5.251
Ba Be Tl
1 1 3
Direct
0.000 0.000 0.000 Ba
0.500 0.500 0.500 Be
0.000 0.500 0.500 Tl
0.500 0.000 0.500 Tl
0.500 0.500 0.000 Tl

=====

Record 2
Ba3BeTl (PBE, relaxed); DOS at the Fermi energy = 5.93 states/eV per cell; space group = No. 221; DFT formation energy = 138 kJ/mol of formula units; E_tot = -2.086 eV/atom; energy above the lowest structure with this stoichiometry = 0.000 eV per atom; total magnetic moment = 0.44 μB per atom
1.0
6.183 0.000 0.000
0.000 6.183 0.000
0.000 0.000 6.183
Ba Be Tl
3 1 1
Direct
0.000 0.000 0.500 Ba
0.000 0.500 0.000 Ba
0.500 0.000 0.000 Ba
0.000 0.000 0.000 Be
0.500 0.500 0.500 Tl

=====

Record 3
Ba2BeTl (PBE, relaxed); DOS at the Fermi energy = 12.31 states/eV per cell; space group = No. 122; DFT formation energy = 162 kJ/mol of formula units; E_tot = -2.066 eV/atom; energy above the lowest structure with this stoichiometry = 0.387 eV per atom; total magnetic moment = 0.00 μB per atom
1.0
-4.604 4.604 3.642
4.604 -4.604 3.642
4.604 4.604 -3.642
Ba Be Tl
4 2 2
Direct
0.077 0.125 0.452 Ba
0.375 0.923 0.048 Ba
0.673 0.625 0.548 Ba
0.875 0.327 0.952 Ba
0.000 0.000 0.000 Be
0.750 0.250 0.500 Be
0.250 0.750 0.500 Tl
0.500 0.500 0.000 Tl

=====

Record 4
Ba2BeTl (PBE, relaxed); DOS at the Fermi energy = 3.93 states/eV per cell; space group = No. 99; DFT formation energy = 107 kJ/mol of formula units; E_tot = -2.207 eV/atom; energy above the lowest structure with this stoichiometry = 0.246 eV per atom; total magnetic moment = 0.00 μB per atom
1.0
3.934 0.000 0.000
0.000 3.934 0.000
0.000 0.000 9.637
Ba Be Tl
2 1 1
Direct
0.000 0.000 0.000 Ba
0.500 0.500 0.406 Ba
0.000 0.000 0.623 Be
0.500 0.500 0.756 Tl

=====

Record 5
BaBeTl (PBE, relaxed); DOS at the Fermi energy = 4.31 states/eV per cell; space group = No. 216; DFT formation energy = 150 kJ/mol of formula units; E_tot = -2.153 eV/atom; energy above the lowest structure with this stoichiometry = 0.426 eV per atom; total magnetic moment = 0.30 μB per atom
1.0
0.000 3.731 3.731
3.731 0.000 3.731
3.731 3.731 0.000
Ba Be Tl
1 1 1
Direct
0.000 0.000 0.000 Ba
0.500 0.500 0.500 Be
0.750 0.750 0.750 Tl

=====

Record 6
Ba2BeTl (PBE, relaxed); DOS at the Fermi energy = 3.06 states/eV per cell; space group = No. 65; DFT formation energy = 54 kJ/mol of formula units; E_tot = -2.346 eV/atom; energy above the lowest structure with this stoichiometry = 0.107 eV per atom; total magnetic moment = 0.00 μB per atom
1.0
4.147 -4.158 0.000
4.147 4.158 0.000
0.000 0.000 4.184
Ba Be Tl
2 1 1
Direct
0.000 0.500 0.000 Ba
0.500 0.000 0.000 Ba
0.000 0.000 0.500 Be
0.500 0.500 0.500 Tl

=====

Record 7
Ba2BeTl (PBE, relaxed); DOS at the Fermi energy = 3.60 states/eV per cell; space group = No. 225; DFT formation energy = 53 kJ/mol of formula units; E_tot = -2.348 eV/atom; energy above the lowest structure with this stoichiometry = 0.105 eV per atom; total magnetic moment = 0.00 μB per atom
1.0
0.000 4.158 4.158
4.158 0.000 4.158
4.158 4.158 0.000
Ba Be Tl
2 1 1
Direct
0.250 0.250 0.250 Ba
0.750 0.750 0.750 Ba
0.000 0.000 0.000 Be
0.500 0.500 0.500 Tl

=====

Record 8
Ba2BeTl (PBE, relaxed); DOS at the Fermi energy = 4.20 states/eV per cell; space group = No. 166; DFT formation energy = 120 kJ/mol of formula units; E_tot = -2.173 eV/atom; energy above the lowest structure with this stoichiometry = 0.280 eV per atom; total magnetic moment = 0.00 μB per atom
1.0
2.154 1.243 9.961
-2.154 1.243 9.961
0.000 -2.487 9.961
Ba Be Tl
2 1 1
Direct
0.241 0.241 0.241 Ba
0.759 0.759 0.759 Ba
0.500 0.500 0.500 Be
0.000 0.000 0.000 Tl

=====

Record 9
Ba2BeTl (PBE, relaxed); DOS at the Fermi energy = 1.91 states/eV per cell; space group = No. 8; DFT formation energy = 33 kJ/mol of formula units; E_tot = -2.398 eV/atom; energy above the lowest structure with this stoichiometry = 0.055 eV per atom; total magnetic moment = 0.00 μB per atom
1.0
6.572 -1.946 0.000
6.572 1.946 0.000
-2.540 0.000 5.197
Ba Be Tl
2 1 1
Direct
0.000 0.000 0.000 Ba
0.185 0.185 0.685 Ba
0.745 0.745 0.243 Be
0.395 0.395 0.396 Tl

=====

Record 10
BaBeTl (PBE, relaxed); DOS at the Fermi energy = 3.32 states/eV per cell; space group = No. 216; DFT formation energy = 225 kJ/mol of formula units; E_tot = -1.893 eV/atom; energy above the lowest structure with this stoichiometry = 0.686 eV per atom; total magnetic moment = 0.00 μB per atom
1.0
0.000 3.837 3.837
3.837 0.000 3.837
3.837 3.837 0.000
Ba Be Tl
1 1 1
Direct
0.000 0.000 0.000 Ba
0.750 0.750 0.750 Be
0.250 0.250 0.250 Tl

=====

Record 11
BaBeTl (PBE, relaxed); DOS at the Fermi energy = 2.20 states/eV per cell; space group = No. 187; DFT formation energy = 27 kJ/mol of formula units; E_tot = -2.579 eV/atom; energy above the lowest structure with this stoichiometry = 0.000 eV per atom; total magnetic moment = 0.00 μB per atom
1.0
4.422 0.000 0.000
-2.211 3.830 0.000
0.000 0.000 5.307
Ba Be Tl
1 1 1
Direct
0.000 0.000 0.000 Ba
0.667 0.333 0.500 Be
0.333 0.667 0.500 Tl

=====

Record 12
BaBeTl (PBE, relaxed); DOS at the Fermi energy = 5.09 states/eV per cell; space group = No. 216; DFT formation energy = 86 kJ/mol of formula units; E_tot = -2.375 eV/atom; energy above the lowest structure with this stoichiometry = 0.204 eV per atom; total magnetic moment = 0.00 μB per atom
1.0
0.000 3.597 3.597
3.597 0.000 3.597
3.597 3.597 0.000
Ba Be Tl
1 1 1
Direct
0.000 0.000 0.000 Ba
0.250 0.250 0.250 Be
0.500 0.500 0.500 Tl

=====

Record 13
Ba2BeTl (PBE, relaxed); DOS at the Fermi energy = 3.14 states/eV per cell; space group = No. 6; DFT formation energy = 12 kJ/mol of formula units; E_tot = -2.453 eV/atom; energy above the lowest structure with this stoichiometry = 0.000 eV per atom; total magnetic moment = 0.00 μB per atom
1.0
5.597 0.000 0.000
0.000 4.662 0.000
-2.794 0.000 5.531
Ba Be Tl
2 1 1
Direct
0.000 0.000 0.000 Ba
0.310 0.500 0.619 Ba
0.685 0.000 0.372 Be
0.625 0.500 0.249 Tl

=====

Record 14
Ba2BeTl (PBE, relaxed); DOS at the Fermi energy = 3.12 states/eV per cell; space group = No. 216; DFT formation energy = 134 kJ/mol of formula units; E_tot = -2.137 eV/atom; energy above the lowest structure with this stoichiometry = 0.315 eV per atom; total magnetic moment = 0.00 μB per atom
1.0
0.000 4.039 4.039
4.039 0.000 4.039
4.039 4.039 0.000
Ba Be Tl
2 1 1
Direct
0.000 0.000 0.000 Ba
0.250 0.250 0.250 Ba
0.750 0.750 0.750 Be
0.500 0.500 0.500 Tl

=====

Record 15
BaBeV3 (PBE, relaxed); DOS at the Fermi energy = 4.93 states/eV per cell; space group = No. 221; DFT formation energy = 1297 kJ/mol of formula units; E_tot = -3.912 eV/atom; energy above the lowest structure with this stoichiometry = 1.576 eV per atom; total magnetic moment = 0.00 μB per atom
1.0
4.729 0.000 0.000
0.000 4.729 0.000
0.000 0.000 4.729
Ba Be V
1 1 3
Direct
0.000 0.000 0.000 Ba
0.500 0.500 0.500 Be
0.000 0.000 0.500 V
0.000 0.500 0.000 V
0.500 0.000 0.000 V